Entry 1:
Computed, not measured: crystalline TbY2OsN4 at its relaxed geometry at the GGA-PBE level of DFT.

a b c (Å): 3.392 6.052 11.715
angles (deg): 90.00 90.00 106.28
Sites, in units of the cell vectors:
N 0.732 0.463 0.632
N 0.000 0.000 0.500
N 0.268 0.537 0.132
N 0.268 0.537 0.368
N 0.732 0.463 0.868
N 0.000 0.000 0.000
N 0.449 0.898 0.750
N 0.551 0.102 0.250
Os 0.864 0.728 0.750
Os 0.136 0.272 0.250
Tb 0.129 0.258 0.750
Tb 0.871 0.742 0.250
Y 0.631 0.263 0.041
Y 0.631 0.263 0.459
Y 0.369 0.737 0.541
Y 0.369 0.737 0.959

DOS(E_F) ... 3.8 states/eV/cell
Space group ... Cmcm, No. 63
Formation energy from raw total energies ... -91.5 kJ per mole of atoms
Magnetic moment ... 0.00 Bohr magnetons per cell

Entry 2:
Computed, not measured: crystalline TcOsN at its relaxed geometry at the GGA-PBE level of DFT.

a b c (Å): 2.876 3.833 9.440
angles (deg): 90.00 98.76 90.00
Sites, in units of the cell vectors:
N 0.421 0.750 0.841
N 0.579 0.250 0.159
Tc 0.861 0.750 0.721
Tc 0.139 0.250 0.279
Os 0.280 0.250 0.561
Os 0.720 0.750 0.439

DOS(E_F) ... 3.2 states/eV/cell
Space group ... Cmcm, No. 63
Formation energy from raw total energies ... 45.4 kJ per mole of atoms
Magnetic moment ... 0.00 Bohr magnetons per cell

Repeat the second record exactly.
Computed, not measured: crystalline TcOsN at its relaxed geometry at the GGA-PBE level of DFT.

a b c (Å): 2.876 3.833 9.440
angles (deg): 90.00 98.76 90.00
Sites, in units of the cell vectors:
N 0.421 0.750 0.841
N 0.579 0.250 0.159
Tc 0.861 0.750 0.721
Tc 0.139 0.250 0.279
Os 0.280 0.250 0.561
Os 0.720 0.750 0.439

DOS(E_F) ... 3.2 states/eV/cell
Space group ... Cmcm, No. 63
Formation energy from raw total energies ... 45.4 kJ per mole of atoms
Magnetic moment ... 0.00 Bohr magnetons per cell

Please write out number 1 again, unchanged.
Computed, not measured: crystalline TbY2OsN4 at its relaxed geometry at the GGA-PBE level of DFT.

a b c (Å): 3.392 6.052 11.715
angles (deg): 90.00 90.00 106.28
Sites, in units of the cell vectors:
N 0.732 0.463 0.632
N 0.000 0.000 0.500
N 0.268 0.537 0.132
N 0.268 0.537 0.368
N 0.732 0.463 0.868
N 0.000 0.000 0.000
N 0.449 0.898 0.750
N 0.551 0.102 0.250
Os 0.864 0.728 0.750
Os 0.136 0.272 0.250
Tb 0.129 0.258 0.750
Tb 0.871 0.742 0.250
Y 0.631 0.263 0.041
Y 0.631 0.263 0.459
Y 0.369 0.737 0.541
Y 0.369 0.737 0.959

DOS(E_F) ... 3.8 states/eV/cell
Space group ... Cmcm, No. 63
Formation energy from raw total energies ... -91.5 kJ per mole of atoms
Magnetic moment ... 0.00 Bohr magnetons per cell

- The lowest formation energy from raw total energies belongs to which entry?
  TbY2OsN4

- What is the magnetic moment in the second record?
  0.00 Bohr magnetons per cell